# TiInWAu2 PBE optimized geometry
data_TiInWAu2
_cell_length_a 4.889
_cell_length_b 4.889
_cell_length_c 5.104
_cell_angle_alpha 90.00
_cell_angle_beta 90.00
_cell_angle_gamma 90.00
_space_group_name_H-M_alt 'P 4/m m m'
_space_group_IT_number 123
_space_group_name_Hall '-P 4 2'
loop_
_atom_site_label
_atom_site_fract_x
_atom_site_fract_y
_atom_site_fract_z
Ti1 0.000 0.000 0.000
In1 0.500 0.500 0.500
W1 0.500 0.500 0.000
Au1 0.000 0.500 0.500
# Final energy (eV per atom): -4.42


# YTiInAu PBE optimized geometry
data_YTiInAu
_cell_length_a 7.054
_cell_length_b 7.054
_cell_length_c 7.054
_cell_angle_alpha 90.00
_cell_angle_beta 90.00
_cell_angle_gamma 90.00
_space_group_name_H-M_alt 'F -4 3 m'
_space_group_IT_number 216
_space_group_name_Hall 'F -4 2 3'
loop_
_atom_site_label
_atom_site_fract_x
_atom_site_fract_y
_atom_site_fract_z
Y1 0.000 0.000 0.000
Ti1 0.000 0.000 0.500
In1 0.250 0.250 0.750
Au1 0.250 0.250 0.250
# Final energy (eV per atom): -5.44


# ZrTiInAu PBE optimized geometry
data_ZrTiInAu
_cell_length_a 3.077
_cell_length_b 3.077
_cell_length_c 8.243
_cell_angle_alpha 90.00
_cell_angle_beta 90.00
_cell_angle_gamma 90.00
_space_group_name_H-M_alt 'P 4 m m'
_space_group_IT_number 99
_space_group_name_Hall 'P 4 -2'
loop_
_atom_site_label
_atom_site_fract_x
_atom_site_fract_y
_atom_site_fract_z
Zr1 0.000 0.000 0.000
Ti1 0.000 0.000 0.474
In1 0.500 0.500 0.725
Au1 0.500 0.500 0.255
# Final energy (eV per atom): -5.95


# Tl3In12Au5 PBE optimized geometry
data_Tl3In12Au5
_cell_length_a 16.909
_cell_length_b 16.909
_cell_length_c 16.909
_cell_angle_alpha 90.00
_cell_angle_beta 90.00
_cell_angle_gamma 90.00
_space_group_name_H-M_alt 'I a -3 d'
_space_group_IT_number 230
_space_group_name_Hall '-I 4bd 2c 3'
loop_
_atom_site_label
_atom_site_fract_x
_atom_site_fract_y
_atom_site_fract_z
Tl1 0.000 0.250 0.125
In1 0.025 0.072 0.647
Au1 0.000 0.000 0.000
Au2 0.000 0.250 0.375
# Final energy (eV per atom): -2.77


# Tl2InAu2 PBE optimized geometry
data_Tl2InAu2
_cell_length_a 3.915
_cell_length_b 3.915
_cell_length_c 17.240
_cell_angle_alpha 90.00
_cell_angle_beta 90.00
_cell_angle_gamma 90.00
_space_group_name_H-M_alt 'I 4/m m m'
_space_group_IT_number 139
_space_group_name_Hall '-I 4 2'
loop_
_atom_site_label
_atom_site_fract_x
_atom_site_fract_y
_atom_site_fract_z
Tl1 0.000 0.000 0.111
In1 0.000 0.000 0.500
Au1 0.000 0.500 0.250
# Final energy (eV per atom): -2.76
# ΔE to the lowest computed polymorph (meV/atom): 127


# TlIn3Au6 PBE optimized geometry
data_TlIn3Au6
_cell_length_a 10.030
_cell_length_b 10.539
_cell_length_c 8.270
_cell_angle_alpha 90.00
_cell_angle_beta 90.00
_cell_angle_gamma 90.00
_space_group_name_H-M_alt 'C m c 21'
_space_group_IT_number 36
_space_group_name_Hall 'C 2c -2'
loop_
_atom_site_label
_atom_site_fract_x
_atom_site_fract_y
_atom_site_fract_z
Tl1 0.000 0.243 0.000
In1 0.000 0.472 0.685
In2 0.161 0.128 0.606
Au1 0.000 0.010 0.322
Au2 0.000 0.282 0.362
Au3 0.225 0.424 0.442
Au4 0.243 0.337 0.777
# Final energy (eV per atom): -3.13